An optimized crystal structure of Cs4Zr6BBr17, computed with PBE.

Unit cell a=12.896 b=12.896 c=11.910 alpha=90.00 beta=90.00 gamma=90.00
Fractional coordinates of all 56 atoms:
1 Cs 0.721 0.486 0.656
2 Zr 0.371 0.129 0.845
3 Br 0.208 0.292 0.159
4 Br 0.705 0.205 0.535
5 Zr 0.908 0.592 0.297
6 Br 0.252 0.544 0.316
7 Cs 0.221 0.014 0.344
8 Zr 0.408 0.908 0.982
9 Zr 0.092 0.408 0.018
10 Br 0.959 0.246 0.998
11 Cs 0.986 0.221 0.656
12 B 0.000 0.500 0.158
13 Br 0.793 0.707 0.842
14 Br 0.748 0.456 0.316
15 Br 0.456 0.252 0.684
16 Br 0.541 0.746 0.002
17 Br 0.500 0.000 0.166
18 Br 0.205 0.295 0.465
19 Br 0.956 0.248 0.316
20 Br 0.792 0.708 0.159
21 Cs 0.279 0.514 0.656
22 Zr 0.592 0.092 0.982
23 Br 0.707 0.207 0.158
24 Zr 0.871 0.371 0.155
25 Br 0.746 0.459 0.998
26 Br 0.041 0.754 0.998
27 Cs 0.486 0.279 0.344
28 Cs 0.014 0.779 0.656
29 Zr 0.092 0.408 0.297
30 Br 0.293 0.793 0.158
31 Br 0.500 0.000 0.518
32 Br 0.500 0.500 0.500
33 Zr 0.629 0.871 0.845
34 Br 0.044 0.752 0.316
35 B 0.500 0.000 0.842
36 Br 0.295 0.795 0.535
37 Br 0.795 0.705 0.465
38 Zr 0.592 0.092 0.703
39 Br 0.544 0.748 0.684
40 Br 0.207 0.293 0.842
41 Br 0.000 0.500 0.834
42 Cs 0.514 0.721 0.344
43 Br 0.754 0.959 0.002
44 Br 0.292 0.792 0.841
45 Br 0.254 0.541 0.998
46 Zr 0.908 0.592 0.018
47 Zr 0.129 0.629 0.155
48 Br 0.248 0.044 0.684
49 Br 0.000 0.000 0.500
50 Br 0.000 0.500 0.482
51 Br 0.752 0.956 0.684
52 Br 0.246 0.041 0.002
53 Br 0.708 0.208 0.841
54 Br 0.459 0.254 0.002
55 Zr 0.408 0.908 0.703
56 Cs 0.779 0.986 0.344

## Properties
The space group is P-42_1m.



An optimized crystal structure of Dy2Ho2BBr5, computed with PBE.

Unit cell a=9.180 b=9.180 c=8.152 alpha=102.49 beta=102.49 gamma=24.52
Fractional coordinates of all 10 atoms:
1 Dy 0.358 0.358 0.926
2 Br 0.500 0.500 0.500
3 B 0.500 0.500 0.000
4 Dy 0.642 0.642 0.074
5 Br 0.829 0.829 0.170
6 Ho 0.999 0.999 0.207
7 Br 0.171 0.171 0.830
8 Br 0.164 0.164 0.339
9 Br 0.836 0.836 0.661
10 Ho 0.001 0.001 0.793

## Properties
The space group is C2/m.



Values of calculated total energy, in order: -4.75 -4.74, all in eV per atom.
Values of total moment, in order: 0.00 0.00, all in μB/f.u..